DFT (PBE) results for crystalline CsRbNi2Cl8 at its relaxed geometry.

POSCAR file:
```
CsRbNi2Cl8
1.0
3.447 1.990 10.009
-3.447 1.990 10.009
0.000 -3.980 10.009
Cs Rb Ni Cl
1 1 2 8
direct
0.000 0.000 0.000
0.500 0.500 0.500
0.256 0.256 0.256
0.744 0.744 0.744
0.026 0.443 0.836
0.164 0.974 0.557
0.328 0.328 0.328
0.443 0.836 0.026
0.557 0.164 0.974
0.672 0.672 0.672
0.836 0.026 0.443
0.974 0.557 0.164
```

Computed properties:
Symmetry   R-3

DFT (PBE) results for crystalline Li2InCl at its relaxed geometry.

POSCAR file:
```
Li2InCl
1.0
4.944 0.000 0.000
0.000 4.944 0.000
0.000 0.000 3.407
Li In Cl
2 1 1
direct
0.000 0.500 0.000
0.500 0.000 0.000
0.000 0.000 0.500
0.500 0.500 0.500
```

Computed properties:
ΔE to the lowest computed polymorph   358 meV per atom
Symmetry   P4/mmm

| no. | magnetic moment (μB per formula unit) | formation energy from raw total energies (eV/atom) | electronic total energy (eV/atom) |
| --- | --- | --- | --- |
| 1 | 6.1 | -0.9774 | -3.3238 |
| 2 | 0.0 | -0.5460 | -2.6492 |